The following is a PBE calculation of a geometry-optimized In2Sn2Rh3 structure, from Alexandria via LeMat-Bulk.

Cell and atoms, written as extended XYZ:
```
7
Lattice="-2.800 2.867 -2.148 -0.465 -4.491 -0.566 -2.650 -0.658 7.388" Properties=species:S:1:pos:R:3 pbc="T T T"
In -1.838 -0.096 2.271
In -4.077 -2.187 2.403
Sn -2.689 0.378 -0.793
Sn -3.226 -2.661 5.467
Rh 0.000 0.000 0.000
Rh -3.605 -0.186 4.441
Rh -2.310 -2.097 0.232
```

Computed properties:
As for the total magnetization: 0.00 μB/cell. For the calculated volume, the calculation gives 19.0 Å³ per atom. For the formation enthalpy at 0 K, the calculation gives -0.429 eV/atom.

=====

The following is a PBE calculation of a geometry-optimized Sm6In2Au structure, from Alexandria via LeMat-Bulk.

Cell and atoms, written as extended XYZ:
```
9
Lattice="-0.546 -2.004 3.201 8.635 -2.504 -0.094 -2.456 7.512 4.285" Properties=species:S:1:pos:R:3 pbc="T T T"
Sm 4.950 -2.517 1.543
Sm 2.167 0.974 3.255
Sm -1.758 3.544 4.194
Sm 2.249 -0.652 -0.025
Sm 4.569 3.704 3.099
Sm 7.995 -0.548 1.021
In 1.242 4.172 2.824
In 4.939 0.835 1.366
Au 8.361 -3.506 1.506
```

Computed properties:
As for the total magnetization: 0.00 μB/cell. For the calculated volume, the calculation gives 29.7 Å³ per atom. For the formation enthalpy at 0 K, the calculation gives -0.398 eV/atom.

=====

The following is a PBE calculation of a geometry-optimized LiReTe2 structure, from Alexandria via LeMat-Bulk.

Cell and atoms, written as extended XYZ:
```
4
Lattice="5.332 0.000 0.000 0.000 3.569 -0.200 0.000 -0.966 4.696" Properties=species:S:1:pos:R:3 pbc="T T T"
Li 0.000 0.543 2.281
Re 2.666 2.699 3.300
Te 0.000 2.451 4.146
Te 2.666 0.815 1.514
```

Computed properties:
As for the total magnetization: 0.00 μB/cell. As for the uncorrected formation energy: 0.767 eV per formula unit. For the calculated volume, the calculation gives 22.1 Å³ per atom.

=====

The following is a PBE calculation of a geometry-optimized NdPuBrN2 structure, from Alexandria via LeMat-Bulk.

Cell and atoms, written as extended XYZ:
```
10
Lattice="-3.888 -0.065 1.469 0.162 -7.203 0.109 2.582 2.762 6.956" Properties=species:S:1:pos:R:3 pbc="T T T"
Nd 1.521 -2.227 6.867
Nd -2.665 -2.280 1.667
Pu 0.223 -3.519 3.375
Pu -1.367 -0.987 5.159
Br 1.031 1.926 5.754
Br -2.174 -6.432 2.780
N -1.786 -2.803 3.969
N 0.643 -1.703 4.565
N -0.619 -1.278 7.126
N -0.525 -3.228 1.408
```

Computed properties:
As for the total magnetization: 8.00 μB/cell. As for the uncorrected formation energy: -7.200 eV per formula unit. For the calculated volume, the calculation gives 22.4 Å³ per atom.

=====

The following is a PBE calculation of a geometry-optimized BaMnCdH6 structure, from Alexandria via LeMat-Bulk.

Cell and atoms, written as extended XYZ:
```
9
Lattice="4.884 -0.002 -0.001 2.440 4.225 -0.001 0.001 0.001 5.049" Properties=species:S:1:pos:R:3 pbc="T T T"
Ba 2.442 4.225 5.048
Mn 2.440 1.409 2.524
Cd 4.881 2.817 2.523
H 1.434 1.989 1.326
H 2.444 0.250 3.722
H 3.447 1.985 3.722
H 1.434 1.989 3.722
H 3.447 1.985 1.325
H 2.444 0.249 1.326
```

Computed properties:
As for the total magnetization: 2.18 μB/cell. For the calculated volume, the calculation gives 11.6 Å³ per atom. For the total DFT energy (no corrections), the calculation gives -0.274 Ry per atom.

=====

The following is a PBE calculation of a geometry-optimized MgCd2Au8 structure, from Alexandria via LeMat-Bulk.

Cell and atoms, written as extended XYZ:
```
11
Lattice="-0.581 2.723 -2.673 -7.143 -4.343 -2.872 0.328 3.978 6.769" Properties=species:S:1:pos:R:3 pbc="T T T"
Mg -0.291 1.362 -1.337
Cd -4.543 -1.300 -0.337
Cd -2.853 3.659 1.561
Au -6.811 -0.844 -2.166
Au -4.145 1.038 1.958
Au -1.226 1.099 1.386
Au -1.945 5.673 3.415
Au -6.170 1.259 -0.163
Au -3.251 1.321 -0.735
Au -0.584 3.202 3.390
Au -5.451 -3.315 -2.192
```

Computed properties:
As for the total magnetization: 0.00 μB/cell. For the calculated volume, the calculation gives 19.2 Å³ per atom. For the formation enthalpy at 0 K, the calculation gives -0.212 eV/atom.

=====

The following is a PBE calculation of a geometry-optimized LaSmMgCd structure, from Alexandria via LeMat-Bulk.

Cell and atoms, written as extended XYZ:
```
4
Lattice="-5.320 0.193 1.369 -1.660 -1.959 4.860 -1.706 3.456 3.919" Properties=species:S:1:pos:R:3 pbc="T T T"
Mg -2.171 0.422 2.537
Cd -6.514 1.267 7.611
Sm 0.000 0.000 0.000
La -4.343 0.845 5.074
```

Computed properties:
As for the total magnetization: 0.00 μB/cell. For the calculated volume, the calculation gives 29.4 Å³ per atom. For the formation enthalpy at 0 K, the calculation gives -0.209 eV/atom.

=====

The following is a PBE calculation of a geometry-optimized Ce2PmTe structure, from Alexandria via LeMat-Bulk.

Cell and atoms, written as extended XYZ:
```
4
Lattice="5.460 0.000 0.000 2.730 4.729 0.000 2.730 1.576 4.458" Properties=species:S:1:pos:R:3 pbc="T T T"
Te 5.460 3.152 2.229
Ce 2.730 1.576 1.113
Ce 8.190 4.729 3.345
Pm 0.000 0.000 0.000
```

Computed properties:
As for the total magnetization: 1.71 μB/cell. As for the uncorrected formation energy: -1.009 eV per formula unit. For the calculated volume, the calculation gives 28.8 Å³ per atom.

=====

The following is a PBE calculation of a geometry-optimized Rb2RuSeO6 structure, from Alexandria via LeMat-Bulk.

Cell and atoms, written as extended XYZ:
```
10
Lattice="7.250 0.011 -0.089 0.004 6.932 0.006 3.577 3.471 3.855" Properties=species:S:1:pos:R:3 pbc="T T T"
Rb 7.587 3.479 1.812
Rb 3.998 6.943 1.819
Ru 0.648 6.936 0.073
Se 7.570 6.941 3.549
O 3.218 3.461 2.482
O 8.592 8.270 3.632
O 1.699 5.494 0.146
O 8.581 5.603 3.636
O 1.674 1.461 0.131
O 6.963 6.940 1.632
```

Computed properties:
As for the total magnetization: 2.00 μB/cell. As for the uncorrected formation energy: -11.545 eV per formula unit. For the calculated volume, the calculation gives 19.6 Å³ per atom.

=====

The following is a PBE calculation of a geometry-optimized TaGaGe structure, from Alexandria via LeMat-Bulk.

Cell and atoms, written as extended XYZ:
```
12
Lattice="-0.112 5.025 3.508 -5.712 1.186 -1.882 -2.221 -3.303 4.661" Properties=species:S:1:pos:R:3 pbc="T T T"
Ta -4.497 1.658 0.665
Ta -3.282 -0.950 3.427
Ta -1.897 2.789 3.469
Ta -6.415 2.319 5.013
Ge -4.304 1.556 3.363
Ge -2.842 5.286 2.673
Ge -6.549 -0.216 0.474
Ge -2.395 -0.809 6.064
Ga -0.352 0.127 0.275
Ga -4.791 0.115 5.506
Ga -6.721 1.631 2.336
Ga -4.226 3.943 4.458
```

Computed properties:
As for the total magnetization: 0.00 μB/cell. For the calculated volume, the calculation gives 19.2 Å³ per atom. For the formation enthalpy at 0 K, the calculation gives 0.291 eV/atom.

=====

The following is a PBE calculation of a geometry-optimized Y3Ho2In3 structure, from Alexandria via LeMat-Bulk.

Cell and atoms, written as extended XYZ:
```
8
Lattice="-1.300 3.532 -0.113 -0.463 0.000 5.306 11.289 2.093 -1.689" Properties=species:S:1:pos:R:3 pbc="T T T"
Y 1.706 2.725 2.822
Y 7.821 2.900 0.682
Y -0.650 1.766 -0.057
Ho 4.246 3.581 0.370
Ho 5.281 2.044 3.134
In 2.499 0.927 0.218
In -0.231 0.000 2.653
In 7.028 4.698 3.286
```

Computed properties:
As for the total magnetization: 0.00 μB/cell. For the calculated volume, the calculation gives 27.9 Å³ per atom. For the formation enthalpy at 0 K, the calculation gives -0.387 eV/atom.

=====

The following is a PBE calculation of a geometry-optimized Fe3Co4 structure, from Alexandria via LeMat-Bulk.

Cell and atoms, written as extended XYZ:
```
7
Lattice="5.844 -2.005 -0.018 5.844 2.005 -0.018 5.167 0.000 3.387" Properties=species:S:1:pos:R:3 pbc="T T T"
Fe 1.195 0.000 0.237
Fe 8.428 0.000 1.675
Fe 15.661 0.000 3.113
Co 10.791 0.000 2.145
Co 6.065 0.000 1.205
Co 13.252 0.000 2.634
Co 3.604 0.000 0.716
```

Computed properties:
As for the total magnetization: 14.84 μB/cell. For the calculated volume, the calculation gives 11.4 Å³ per atom. For the formation enthalpy at 0 K, the calculation gives -0.027 eV/atom.

=====

The following is a PBE calculation of a geometry-optimized TbGdHg structure, from Alexandria via LeMat-Bulk.

Cell and atoms, written as extended XYZ:
```
3
Lattice="-3.225 1.650 -0.623 -1.312 -3.113 -1.450 0.238 -1.077 6.756" Properties=species:S:1:pos:R:3 pbc="T T T"
Gd -2.692 -1.108 0.155
Tb -1.211 -1.079 3.412
Hg -4.086 -2.350 4.082
```

Computed properties:
As for the total magnetization: 8.10 μB/cell. For the calculated volume, the calculation gives 28.5 Å³ per atom. For the formation enthalpy at 0 K, the calculation gives -0.322 eV/atom.

=====

The following is a PBE calculation of a geometry-optimized CaScIr structure, from Alexandria via LeMat-Bulk.

Cell and atoms, written as extended XYZ:
```
3
Lattice="-3.899 -2.188 -1.321 -2.834 -1.853 3.206 -4.158 1.937 0.835" Properties=species:S:1:pos:R:3 pbc="T T T"
Sc 0.000 0.000 0.000
Ca -5.445 -1.052 1.360
Ir -8.168 -1.578 2.040
```

Computed properties:
As for the total magnetization: 0.00 μB/cell. For the calculated volume, the calculation gives 23.9 Å³ per atom. For the formation enthalpy at 0 K, the calculation gives -0.434 eV/atom.

=====

The following is a PBE calculation of a geometry-optimized HoNi4Rh2 structure, from Alexandria via LeMat-Bulk.

Cell and atoms, written as extended XYZ:
```
7
Lattice="-1.129 4.929 0.470 -4.496 1.406 1.886 1.136 2.468 4.286" Properties=species:S:1:pos:R:3 pbc="T T T"
Ho -1.129 4.929 0.470
Ni -2.402 6.747 5.767
Ni -2.087 2.056 0.874
Ni -4.583 6.337 4.838
Ni 0.094 2.467 1.804
Rh -2.527 5.634 3.439
Rh -1.962 3.170 3.202
```

Computed properties:
As for the total magnetization: 0.00 μB/cell. For the calculated volume, the calculation gives 14.0 Å³ per atom. For the formation enthalpy at 0 K, the calculation gives -0.279 eV/atom.

=====

The following is a PBE calculation of a geometry-optimized NiIrSe2 structure, from Alexandria via LeMat-Bulk.

Cell and atoms, written as extended XYZ:
```
4
Lattice="0.448 3.414 -5.865 -0.975 -1.581 -6.542 -2.284 -0.339 6.397" Properties=species:S:1:pos:R:3 pbc="T T T"
Ir -1.049 1.995 -2.836
Ni -1.761 -0.502 -3.174
Se -0.462 1.610 -10.900
Se -0.327 1.139 -7.710
```

Computed properties:
As for the total magnetization: 0.00 μB/cell. As for the uncorrected formation energy: -0.510 eV per formula unit. For the calculated volume, the calculation gives 21.5 Å³ per atom.

=====

The following is a PBE calculation of a geometry-optimized CoCu2Os structure, from Alexandria via LeMat-Bulk.

Cell and atoms, written as extended XYZ:
```
4
Lattice="3.901 0.000 0.000 0.000 2.559 -0.038 0.000 1.359 4.934" Properties=species:S:1:pos:R:3 pbc="T T T"
Co 1.951 3.414 3.513
Cu 0.000 2.084 0.071
Cu 1.951 0.819 1.079
Os 0.000 2.122 2.642
```

Computed properties:
As for the total magnetization: 0.01 μB/cell. For the calculated volume, the calculation gives 12.4 Å³ per atom. For the formation enthalpy at 0 K, the calculation gives 0.246 eV/atom.

=====

The following is a PBE calculation of a geometry-optimized Ce8BiPt2 structure, from Alexandria via LeMat-Bulk.

Cell and atoms, written as extended XYZ:
```
11
Lattice="-5.331 1.080 0.553 -3.425 -7.445 1.751 -0.792 -2.583 7.518" Properties=species:S:1:pos:R:3 pbc="T T T"
Ce -5.407 -0.115 2.234
Ce -6.586 -3.178 6.957
Ce -3.120 -2.736 0.901
Ce -5.627 -6.331 5.375
Ce -3.922 -2.617 4.447
Ce -5.636 -3.629 1.403
Ce -2.962 -5.770 2.865
Ce -4.141 -8.833 7.588
Bi -2.666 0.540 0.277
Pt -1.356 -3.282 3.446
Pt -2.861 -6.747 5.823
```

Computed properties:
As for the total magnetization: 4.63 μB/cell. For the calculated volume, the calculation gives 27.5 Å³ per atom. For the formation enthalpy at 0 K, the calculation gives -0.454 eV/atom.

=====

The following is a PBE calculation of a geometry-optimized VRe structure, from Alexandria via LeMat-Bulk.

Cell and atoms, written as extended XYZ:
```
8
Lattice="5.022 0.000 0.000 0.000 5.022 0.000 0.000 0.000 5.022" Properties=species:S:1:pos:R:3 pbc="T T T"
V 0.000 0.000 0.000
V 0.000 2.511 2.511
V 2.511 0.000 2.511
V 2.511 2.511 0.000
Re 2.511 2.511 2.511
Re 2.511 0.000 0.000
Re 0.000 2.511 0.000
Re 0.000 0.000 2.511
```

Computed properties:
As for the total magnetization: 0.01 μB/cell. For the calculated volume, the calculation gives 15.8 Å³ per atom. For the formation enthalpy at 0 K, the calculation gives 0.929 eV/atom.

=====

The following is a PBE calculation of a geometry-optimized Mn3HOs structure, from Alexandria via LeMat-Bulk.

Cell and atoms, written as extended XYZ:
```
20
Lattice="-3.205 -8.035 3.688 3.933 -4.415 3.039 4.514 3.829 3.026" Properties=species:S:1:pos:R:3 pbc="T T T"
H 1.451 -4.222 5.427
H 3.790 -4.398 4.326
H 3.538 -4.367 6.925
H 1.704 -4.254 2.828
Mn 2.353 -3.232 4.182
Mn 7.608 -1.588 5.965
Mn 2.888 -5.389 5.571
Mn -2.367 -7.033 3.788
Mn 1.300 -1.141 1.480
Mn 4.532 -3.392 5.703
Mn 3.941 -7.479 8.274
Mn 0.709 -5.229 4.050
Mn 4.929 -5.574 7.057
Mn -0.302 -7.132 5.250
Mn 0.312 -3.046 2.696
Mn 5.543 -1.488 4.503
Os 3.362 -1.312 2.924
Os 6.562 -3.505 7.198
Os 1.879 -7.309 6.830
Os -1.321 -5.115 2.556
```

Computed properties:
As for the total magnetization: 0.00 μB/cell. For the calculated volume, the calculation gives 9.7 Å³ per atom. For the total DFT energy (no corrections), the calculation gives -0.622 Ry per atom.